# PBE-GGA Sr2AcHoSe4, optimized geometry
# Fermi-level density of states: 3.73 states/eV per cell
# E: -5.127 eV per atom
# Total magnetization: 0.000 μB per formula unit
data_Sr2AcHoSe4
_chemical_formula_sum 'Sr2 Ac1 Ho1 Se4'
_cell_length_a 7.508
_cell_length_b 4.322
_cell_length_c 7.596
_cell_angle_alpha 90.00
_cell_angle_beta 109.06
_cell_angle_gamma 90.00
_space_group_name_H-M_alt 'P 1 2/m 1'
_space_group_IT_number 10
_space_group_name_Hall '-P 2y'
loop_
_atom_site_label
_atom_site_fract_x
_atom_site_fract_y
_atom_site_fract_z
Sr1 0.000 0.000 0.000
Sr2 0.500 0.500 0.000
Ac1 0.000 0.500 0.500
Ho1 0.500 0.000 0.500
Se1 0.264 0.000 0.745
Se2 0.269 0.500 0.265